The following is a DFT calculation (GGA-PBE) of Os2RuC after structural relaxation.

Summary:
- Density: 16.450 g/cm³
- Fermi-level density of states: 2.56 states/eV/cell
- M_tot: 0.000 Bohr magnetons per cell
- DFT formation energy: 0.44 eV/atom

Cell lengths 4.3486, 2.7619, 4.4420 Å; angles 90.00, 110.96, 90.00 degrees
With the nearest neighbours (Å) after each atom.
Element x y z (fractional)
Os 0.0000 0.0000 0.0000  2 C 2.10
Os 0.4252 0.5000 0.7847  1 C 2.04
Ru 0.6444 0.0000 0.3635  2 C 2.16
C 0.0269 0.5000 0.3652  3 Os 2.04-2.10, 2 Ru 2.16